Entry from Alexandria via LeMat-Bulk: crystalline Er3RuRh at its relaxed geometry (PBE-GGA).

Summary:
energy above the lowest structure with this stoichiometry = 82 meV/atom
uncorrected energy = -0.4803 Ry/atom
calculated formation energy = -2.4 eV/f.u.

Geometry as extended XYZ:
```
10
Lattice="-2.102 2.177 2.715 -5.635 -3.177 -1.815 1.465 -5.993 5.941" Properties=species:S:1:pos:R:3 pbc="T T T"
Er -5.743 -0.994 0.917
Er -2.778 -2.992 1.771
Er -0.529 -5.999 5.923
Er -3.494 -4.001 5.069
Er -6.155 -5.501 4.212
Er -0.117 -1.492 2.628
Rh -5.252 -3.004 2.908
Rh -1.020 -3.990 3.932
Ru -3.547 -6.767 4.203
Ru -2.725 -0.226 2.637
```